(1)
A plane-wave DFT calculation with PBE-GGA was carried out for a geometry-optimized SmZnCd structure.

POSCAR file:
```
SmZnCd
1.0
-0.648 1.084 -3.179
-2.670 -3.964 -0.808
-2.077 3.999 1.787
Zn Cd Sm
1 1 1
Direct
0.166 0.333 0.667 Zn
0.167 0.000 0.000 Cd
0.667 0.667 0.333 Sm
```

## Properties
* density of states at the Fermi level: 0.86 states/eV per atom
* VASP energy: -2.619 eV per atom
* SG: P-6m2
* magnetization: 0.00 μB/atom

***

(2)
A plane-wave DFT calculation with PBE-GGA was carried out for a geometry-optimized Sm3ZnCd structure.

POSCAR file:
```
Sm3ZnCd
1.0
-3.997 -1.238 3.216
-1.416 -3.897 -3.260
3.937 -6.917 6.559
Cd Sm Zn
2 6 2
Direct
0.168 0.250 0.313 Cd
0.481 0.750 0.687 Cd
0.389 0.250 0.871 Sm
0.889 0.750 0.871 Sm
0.760 0.250 0.129 Sm
0.574 0.250 0.500 Sm
0.259 0.750 0.129 Sm
0.074 0.750 0.500 Sm
0.669 0.750 0.311 Zn
0.980 0.250 0.689 Zn
```

## Properties
* density of states at the Fermi level: 1.14 states/eV per atom
* VASP energy: -3.499 eV per atom
* SG: Cmcm
* magnetization: 0.04 μB/atom

***

(3)
A plane-wave DFT calculation with PBE-GGA was carried out for a geometry-optimized Sm2Zn2Cd structure.

POSCAR file:
```
Sm2Zn2Cd
1.0
3.698 0.000 0.000
0.000 4.339 -1.234
0.000 -0.208 7.517
Sm Zn Cd
2 2 1
Direct
0.500 0.627 0.253 Sm
0.500 0.373 0.747 Sm
0.000 0.798 0.597 Zn
0.000 0.202 0.403 Zn
0.000 0.000 0.000 Cd
```

## Properties
* density of states at the Fermi level: 1.20 states/eV per atom
* VASP energy: -2.904 eV per atom
* SG: Cmmm
* magnetization: 0.13 μB/atom

***

(4)
A plane-wave DFT calculation with PBE-GGA was carried out for a geometry-optimized Sm6Zn2Cd structure.

POSCAR file:
```
Sm6Zn2Cd
1.0
-8.228 0.378 -3.004
2.430 -8.392 0.732
0.654 3.709 7.917
Zn Sm Cd
4 12 2
Direct
0.500 0.376 0.876 Zn
0.635 0.000 0.635 Zn
0.500 0.624 0.124 Zn
0.365 0.000 0.365 Zn
0.912 0.731 0.182 Sm
0.717 0.398 0.681 Sm
0.205 0.755 0.960 Sm
0.795 0.755 0.550 Sm
0.717 0.036 0.319 Sm
0.549 0.731 0.818 Sm
0.205 0.245 0.450 Sm
0.795 0.245 0.040 Sm
0.283 0.602 0.319 Sm
0.283 0.964 0.681 Sm
0.451 0.269 0.182 Sm
0.088 0.269 0.818 Sm
0.000 0.000 0.000 Cd
0.000 0.500 0.500 Cd
```

## Properties
* density of states at the Fermi level: 1.21 states/eV per atom
* VASP energy: -3.703 eV per atom
* SG: Immm
* magnetization: 0.00 μB/atom

***

(5)
A plane-wave DFT calculation with PBE-GGA was carried out for a geometry-optimized Sm7Zn2Cd2 structure.

POSCAR file:
```
Sm7Zn2Cd2
1.0
6.709 -0.003 -1.042
0.004 7.834 0.003
-1.458 -0.002 6.631
Cd Sm Zn
2 7 2
Direct
0.179 0.500 0.179 Cd
0.821 0.500 0.821 Cd
0.000 0.000 0.000 Sm
0.000 0.278 0.500 Sm
0.500 0.758 0.500 Sm
0.500 0.242 0.500 Sm
0.500 0.722 0.000 Sm
0.500 0.278 0.000 Sm
0.000 0.722 0.500 Sm
0.289 0.000 0.711 Zn
0.711 0.000 0.289 Zn
```

## Properties
* density of states at the Fermi level: 1.28 states/eV per atom
* VASP energy: -3.397 eV per atom
* SG: Cmmm
* magnetization: 0.00 μB/atom

***

(6)
A plane-wave DFT calculation with PBE-GGA was carried out for a geometry-optimized SmZn2Cd structure.

POSCAR file:
```
SmZn2Cd
1.0
3.444 0.000 0.000
0.000 3.444 0.000
0.000 0.000 7.182
Zn Cd Sm
2 1 1
Direct
0.000 0.000 0.775 Zn
0.000 0.000 0.225 Zn
0.500 0.500 0.000 Cd
0.500 0.500 0.500 Sm
```

## Properties
* density of states at the Fermi level: 0.45 states/eV per atom
* VASP energy: -2.201 eV per atom
* offset from the most stable computed form: 0.164 eV/atom
* SG: P4/mmm
* magnetization: 0.00 μB/atom